1.
# BaFeAu2

Crystalline BaFeAu2 at its relaxed geometry (PBE, Alexandria via LeMat-Bulk).

a = 5.452 Å, b = 5.452 Å, c = 5.452 Å
α = 131.92°, β = 113.30°, γ = 86.35°
Site moments in Bohr magnetons follow the coordinates.
Sites, in units of the cell vectors:
Au 0.067 0.067 0.000  0.06
Au 0.433 0.433 0.000  0.06
Ba 0.750 0.250 0.500  -0.03
Fe 0.250 0.750 0.500  3.08

ΔE to the lowest computed polymorph: 245 meV per atom
Calculated formation energy: 20 meV/atom
E: -4.215 eV/atom

---

2.
# BaFe2Au

Crystalline BaFe2Au at its relaxed geometry (PBE, Alexandria via LeMat-Bulk).

a = 3.774 Å, b = 3.318 Å, c = 7.234 Å
α = 83.41°, β = 90.00°, γ = 90.00°
Site moments in Bohr magnetons follow the coordinates.
Sites, in units of the cell vectors:
Au 0.000 0.364 0.439  0.06
Ba 0.500 0.783 0.744  -0.06
Fe 0.000 0.939 0.140  2.81
Fe 0.500 0.414 0.177  2.81

Calculated formation energy: 336 meV/atom
E: -5.195 eV/atom

---

3.
# BaFe2Au

Crystalline BaFe2Au at its relaxed geometry (PBE, Alexandria via LeMat-Bulk).

a = 4.889 Å, b = 4.889 Å, c = 4.889 Å
α = 60.00°, β = 60.00°, γ = 60.00°
Site moments in Bohr magnetons follow the coordinates.
Sites, in units of the cell vectors:
Au 0.500 0.500 0.500  0.05
Ba 0.000 0.000 0.000  -0.07
Fe 0.250 0.250 0.250  2.92
Fe 0.750 0.750 0.750  2.92

Calculated formation energy: 749 meV/atom
E: -4.782 eV/atom

---

4.
# BaFeAu2

Crystalline BaFeAu2 at its relaxed geometry (PBE, Alexandria via LeMat-Bulk).

a = 3.721 Å, b = 3.725 Å, c = 7.280 Å
α = 90.00°, β = 90.00°, γ = 90.00°
Site moments in Bohr magnetons follow the coordinates.
Sites, in units of the cell vectors:
Au 0.000 0.000 0.930  0.07
Au 0.500 0.500 0.220  0.00
Ba 0.000 0.000 0.484  -0.05
Fe 0.500 0.500 0.866  3.04

ΔE to the lowest computed polymorph: 318 meV per atom
Calculated formation energy: 92 meV/atom
E: -4.143 eV/atom

---

5.
# BaFeAu2

Crystalline BaFeAu2 at its relaxed geometry (PBE, Alexandria via LeMat-Bulk).

a = 5.678 Å, b = 5.678 Å, c = 5.678 Å
α = 133.27°, β = 133.27°, γ = 68.23°
Site moments in Bohr magnetons follow the coordinates.
Sites, in units of the cell vectors:
Au 0.000 0.000 0.000  0.01
Au 0.250 0.750 0.500  0.03
Ba 0.500 0.500 0.000  0.00
Fe 0.750 0.250 0.500  3.10

ΔE to the lowest computed polymorph: 468 meV per atom
Calculated formation energy: 243 meV/atom
E: -3.992 eV/atom

---

6.
# BaFe2Au

Crystalline BaFe2Au at its relaxed geometry (PBE, Alexandria via LeMat-Bulk).

a = 5.424 Å, b = 5.424 Å, c = 5.424 Å
α = 132.76°, β = 132.76°, γ = 69.04°
Site moments in Bohr magnetons follow the coordinates.
Sites, in units of the cell vectors:
Au 0.250 0.750 0.500  -0.03
Ba 0.750 0.250 0.500  -0.10
Fe 0.000 0.000 0.000  2.77
Fe 0.500 0.500 0.000  2.77

Calculated formation energy: 737 meV/atom
E: -4.795 eV/atom

---

7.
# BaFeAu4

Crystalline BaFeAu4 at its relaxed geometry (PBE, Alexandria via LeMat-Bulk).

a = 5.717 Å, b = 5.717 Å, c = 5.717 Å
α = 60.00°, β = 60.00°, γ = 60.00°
Site moments in Bohr magnetons follow the coordinates.
Sites, in units of the cell vectors:
Ba 0.750 0.750 0.750  -0.02
Fe 0.000 0.000 0.000  3.10
Au 0.878 0.374 0.374  -0.03
Au 0.374 0.374 0.878  -0.03
Au 0.374 0.878 0.374  -0.03
Au 0.374 0.374 0.374  -0.03

Calculated formation energy: 24 meV/atom
E: -3.892 eV/atom

---

8.
# BaFeAu2

Crystalline BaFeAu2 at its relaxed geometry (PBE, Alexandria via LeMat-Bulk).

a = 5.109 Å, b = 5.109 Å, c = 5.109 Å
α = 60.00°, β = 60.00°, γ = 60.00°
Site moments in Bohr magnetons follow the coordinates.
Sites, in units of the cell vectors:
Au 0.000 0.000 0.000  0.06
Au 0.250 0.250 0.250  0.05
Ba 0.500 0.500 0.500  -0.01
Fe 0.750 0.750 0.750  3.14

ΔE to the lowest computed polymorph: 509 meV per atom
Calculated formation energy: 284 meV/atom
E: -3.951 eV/atom